DFT (PBE-GGA) results for crystalline NiAsRuBr2 at its relaxed geometry.

Cell and atoms, written as CIF:
```
data_NiAsRuBr2
_space_group_name_H-M_alt 'P 1'
_space_group_IT_number 1
_cell_length_a 5.195
_cell_length_b 5.195
_cell_length_c 4.608
_cell_angle_alpha 90.00
_cell_angle_beta 90.00
_cell_angle_gamma 90.00
loop_
_space_group_symop_operation_xyz
'x,y,z'
loop_
_atom_site_label
_atom_site_fract_x
_atom_site_fract_y
_atom_site_fract_z
Ni1 0.000 0.000 0.000
As1 0.500 0.500 0.000
Ru1 0.500 0.500 0.500
Br1 0.000 0.500 0.500
Br2 0.500 0.000 0.500
```

Summary:
- crystal system = tetragonal
- formation energy without anion corrections (meV/atom) = 815
- energy above the lowest structure with this stoichiometry (kJ/mol of atoms) = 0.0

DFT (PBE-GGA) results for crystalline NiAsRuBr2 at its relaxed geometry.

Cell and atoms, written as CIF:
```
data_NiAsRuBr2
_space_group_name_H-M_alt 'P 1'
_space_group_IT_number 1
_cell_length_a 4.934
_cell_length_b 4.934
_cell_length_c 4.549
_cell_angle_alpha 90.00
_cell_angle_beta 90.00
_cell_angle_gamma 90.00
loop_
_space_group_symop_operation_xyz
'x,y,z'
loop_
_atom_site_label
_atom_site_fract_x
_atom_site_fract_y
_atom_site_fract_z
Ni1 0.000 0.000 0.000
As1 0.000 0.000 0.500
Ru1 0.500 0.500 0.500
Br1 0.000 0.500 0.000
Br2 0.500 0.000 0.000
```

Summary:
- crystal system = tetragonal
- formation energy without anion corrections (meV/atom) = 909
- energy above the lowest structure with this stoichiometry (kJ/mol of atoms) = 9.1

DFT (PBE-GGA) results for crystalline NiSbAs2Br at its relaxed geometry.

Cell and atoms, written as CIF:
```
data_NiSbAs2Br
_space_group_name_H-M_alt 'P 1'
_space_group_IT_number 1
_cell_length_a 5.322
_cell_length_b 5.322
_cell_length_c 5.468
_cell_angle_alpha 90.00
_cell_angle_beta 90.00
_cell_angle_gamma 90.00
loop_
_space_group_symop_operation_xyz
'x,y,z'
loop_
_atom_site_label
_atom_site_fract_x
_atom_site_fract_y
_atom_site_fract_z
Ni1 0.000 0.000 0.000
Sb1 0.500 0.500 0.500
As1 0.000 0.500 0.500
As2 0.500 0.000 0.500
Br1 0.500 0.500 0.000
```

Summary:
- crystal system = tetragonal
- formation energy without anion corrections (meV/atom) = 1183
- energy above the lowest structure with this stoichiometry (kJ/mol of atoms) = 78.5

DFT (PBE-GGA) results for crystalline NiSbAs2Br at its relaxed geometry.

Cell and atoms, written as CIF:
```
data_NiSbAs2Br
_space_group_name_H-M_alt 'P 1'
_space_group_IT_number 1
_cell_length_a 4.765
_cell_length_b 4.765
_cell_length_c 4.774
_cell_angle_alpha 90.00
_cell_angle_beta 90.00
_cell_angle_gamma 90.00
loop_
_space_group_symop_operation_xyz
'x,y,z'
loop_
_atom_site_label
_atom_site_fract_x
_atom_site_fract_y
_atom_site_fract_z
Ni1 0.000 0.000 0.000
Sb1 0.500 0.500 0.500
As1 0.000 0.500 0.000
As2 0.500 0.000 0.000
Br1 0.000 0.000 0.500
```

Summary:
- crystal system = tetragonal
- formation energy without anion corrections (meV/atom) = 369
- energy above the lowest structure with this stoichiometry (kJ/mol of atoms) = 0.0

DFT (PBE-GGA) results for crystalline NiAsSeBr2 at its relaxed geometry.

Cell and atoms, written as CIF:
```
data_NiAsSeBr2
_space_group_name_H-M_alt 'P 1'
_space_group_IT_number 1
_cell_length_a 4.749
_cell_length_b 4.749
_cell_length_c 4.900
_cell_angle_alpha 90.00
_cell_angle_beta 90.00
_cell_angle_gamma 90.00
loop_
_space_group_symop_operation_xyz
'x,y,z'
loop_
_atom_site_label
_atom_site_fract_x
_atom_site_fract_y
_atom_site_fract_z
Ni1 0.000 0.000 0.000
As1 0.500 0.500 0.500
Se1 0.000 0.000 0.500
Br1 0.000 0.500 0.000
Br2 0.500 0.000 0.000
```

Summary:
- crystal system = tetragonal
- formation energy without anion corrections (meV/atom) = 351
- energy above the lowest structure with this stoichiometry (kJ/mol of atoms) = 0.0

DFT (PBE-GGA) results for crystalline NiAsSeBr2 at its relaxed geometry.

Cell and atoms, written as CIF:
```
data_NiAsSeBr2
_space_group_name_H-M_alt 'P 1'
_space_group_IT_number 1
_cell_length_a 4.760
_cell_length_b 4.760
_cell_length_c 4.873
_cell_angle_alpha 90.00
_cell_angle_beta 90.00
_cell_angle_gamma 90.00
loop_
_space_group_symop_operation_xyz
'x,y,z'
loop_
_atom_site_label
_atom_site_fract_x
_atom_site_fract_y
_atom_site_fract_z
Ni1 0.000 0.000 0.000
As1 0.000 0.000 0.500
Se1 0.500 0.500 0.500
Br1 0.000 0.500 0.000
Br2 0.500 0.000 0.000
```

Summary:
- crystal system = tetragonal
- formation energy without anion corrections (meV/atom) = 385
- energy above the lowest structure with this stoichiometry (kJ/mol of atoms) = 3.2

DFT (PBE-GGA) results for crystalline Sm6Ni2AsBr3 at its relaxed geometry.

Cell and atoms, written as CIF:
```
data_Sm6Ni2AsBr3
_space_group_name_H-M_alt 'P 1'
_space_group_IT_number 1
_cell_length_a 9.662
_cell_length_b 9.662
_cell_length_c 8.982
_cell_angle_alpha 106.50
_cell_angle_beta 106.50
_cell_angle_gamma 23.96
loop_
_space_group_symop_operation_xyz
'x,y,z'
loop_
_atom_site_label
_atom_site_fract_x
_atom_site_fract_y
_atom_site_fract_z
Sm1 0.015 0.015 0.236
Sm2 0.323 0.323 0.452
Sm3 0.337 0.337 0.874
Sm4 0.663 0.663 0.126
Sm5 0.677 0.677 0.548
Sm6 0.985 0.985 0.764
Ni1 0.167 0.167 0.335
Ni2 0.833 0.833 0.665
As1 0.500 0.500 0.000
Br1 0.160 0.160 0.837
Br2 0.500 0.500 0.500
Br3 0.840 0.840 0.163
```

Summary:
- crystal system = monoclinic
- formation energy without anion corrections (meV/atom) = -981

DFT (PBE-GGA) results for crystalline Ni2SnAsBr at its relaxed geometry.

Cell and atoms, written as CIF:
```
data_Ni2SnAsBr
_space_group_name_H-M_alt 'P 1'
_space_group_IT_number 1
_cell_length_a 4.369
_cell_length_b 4.369
_cell_length_c 5.909
_cell_angle_alpha 90.00
_cell_angle_beta 90.00
_cell_angle_gamma 90.00
loop_
_space_group_symop_operation_xyz
'x,y,z'
loop_
_atom_site_label
_atom_site_fract_x
_atom_site_fract_y
_atom_site_fract_z
Ni1 0.000 0.500 0.000
Ni2 0.500 0.000 0.000
Sn1 0.000 0.000 0.500
As1 0.500 0.500 0.500
Br1 0.000 0.000 0.000
```

Summary:
- crystal system = tetragonal
- formation energy without anion corrections (meV/atom) = 799

DFT (PBE-GGA) results for crystalline TaNiAs2Br at its relaxed geometry.

Cell and atoms, written as CIF:
```
data_TaNiAs2Br
_space_group_name_H-M_alt 'P 1'
_space_group_IT_number 1
_cell_length_a 5.015
_cell_length_b 5.015
_cell_length_c 5.088
_cell_angle_alpha 90.00
_cell_angle_beta 90.00
_cell_angle_gamma 90.00
loop_
_space_group_symop_operation_xyz
'x,y,z'
loop_
_atom_site_label
_atom_site_fract_x
_atom_site_fract_y
_atom_site_fract_z
Ta1 0.000 0.000 0.000
Ni1 0.500 0.500 0.500
As1 0.000 0.500 0.000
As2 0.500 0.000 0.000
Br1 0.000 0.000 0.500
```

Summary:
- crystal system = tetragonal
- formation energy without anion corrections (meV/atom) = 743
- energy above the lowest structure with this stoichiometry (kJ/mol of atoms) = 0.0

DFT (PBE-GGA) results for crystalline TaNiAs2Br at its relaxed geometry.

Cell and atoms, written as CIF:
```
data_TaNiAs2Br
_space_group_name_H-M_alt 'P 1'
_space_group_IT_number 1
_cell_length_a 4.584
_cell_length_b 4.584
_cell_length_c 4.713
_cell_angle_alpha 90.00
_cell_angle_beta 90.00
_cell_angle_gamma 90.00
loop_
_space_group_symop_operation_xyz
'x,y,z'
loop_
_atom_site_label
_atom_site_fract_x
_atom_site_fract_y
_atom_site_fract_z
Ta1 0.000 0.000 0.000
Ni1 0.500 0.500 0.500
As1 0.000 0.500 0.500
As2 0.500 0.000 0.500
Br1 0.500 0.500 0.000
```

Summary:
- crystal system = tetragonal
- formation energy without anion corrections (meV/atom) = 828
- energy above the lowest structure with this stoichiometry (kJ/mol of atoms) = 8.1

DFT (PBE-GGA) results for crystalline TaNiAsBr2 at its relaxed geometry.

Cell and atoms, written as CIF:
```
data_TaNiAsBr2
_space_group_name_H-M_alt 'P 1'
_space_group_IT_number 1
_cell_length_a 4.657
_cell_length_b 4.657
_cell_length_c 4.884
_cell_angle_alpha 90.00
_cell_angle_beta 90.00
_cell_angle_gamma 90.00
loop_
_space_group_symop_operation_xyz
'x,y,z'
loop_
_atom_site_label
_atom_site_fract_x
_atom_site_fract_y
_atom_site_fract_z
Ta1 0.000 0.000 0.000
Ni1 0.500 0.500 0.500
As1 0.500 0.500 0.000
Br1 0.000 0.500 0.500
Br2 0.500 0.000 0.500
```

Summary:
- crystal system = tetragonal
- formation energy without anion corrections (meV/atom) = 865
- energy above the lowest structure with this stoichiometry (kJ/mol of atoms) = 21.1

DFT (PBE-GGA) results for crystalline TaNiAsBr2 at its relaxed geometry.

Cell and atoms, written as CIF:
```
data_TaNiAsBr2
_space_group_name_H-M_alt 'P 1'
_space_group_IT_number 1
_cell_length_a 5.067
_cell_length_b 5.067
_cell_length_c 5.132
_cell_angle_alpha 90.00
_cell_angle_beta 90.00
_cell_angle_gamma 90.00
loop_
_space_group_symop_operation_xyz
'x,y,z'
loop_
_atom_site_label
_atom_site_fract_x
_atom_site_fract_y
_atom_site_fract_z
Ta1 0.000 0.000 0.000
Ni1 0.500 0.500 0.500
As1 0.000 0.000 0.500
Br1 0.000 0.500 0.000
Br2 0.500 0.000 0.000
```

Summary:
- crystal system = tetragonal
- formation energy without anion corrections (meV/atom) = 647
- energy above the lowest structure with this stoichiometry (kJ/mol of atoms) = 0.0

DFT (PBE-GGA) results for crystalline TcNiAs2Br at its relaxed geometry.

Cell and atoms, written as CIF:
```
data_TcNiAs2Br
_space_group_name_H-M_alt 'P 1'
_space_group_IT_number 1
_cell_length_a 4.688
_cell_length_b 4.688
_cell_length_c 5.465
_cell_angle_alpha 90.00
_cell_angle_beta 90.00
_cell_angle_gamma 90.00
loop_
_space_group_symop_operation_xyz
'x,y,z'
loop_
_atom_site_label
_atom_site_fract_x
_atom_site_fract_y
_atom_site_fract_z
Tc1 0.000 0.000 0.000
Ni1 0.500 0.500 0.500
As1 0.000 0.500 0.000
As2 0.500 0.000 0.000
Br1 0.000 0.000 0.500
```

Summary:
- crystal system = tetragonal
- formation energy without anion corrections (meV/atom) = 830
- energy above the lowest structure with this stoichiometry (kJ/mol of atoms) = 0.0

DFT (PBE-GGA) results for crystalline NiTeAs2Br at its relaxed geometry.

Cell and atoms, written as CIF:
```
data_NiTeAs2Br
_space_group_name_H-M_alt 'P 1'
_space_group_IT_number 1
_cell_length_a 5.379
_cell_length_b 5.379
_cell_length_c 5.470
_cell_angle_alpha 90.00
_cell_angle_beta 90.00
_cell_angle_gamma 90.00
loop_
_space_group_symop_operation_xyz
'x,y,z'
loop_
_atom_site_label
_atom_site_fract_x
_atom_site_fract_y
_atom_site_fract_z
Ni1 0.000 0.000 0.000
Te1 0.500 0.500 0.500
As1 0.000 0.500 0.500
As2 0.500 0.000 0.500
Br1 0.500 0.500 0.000
```

Summary:
- crystal system = tetragonal
- formation energy without anion corrections (meV/atom) = 1290
- energy above the lowest structure with this stoichiometry (kJ/mol of atoms) = 91.3